Entry 1:
K2Tl3CdF12, optimized geometry, DFT GGA-PBE; space group = No. 166
1.0
4.179 2.413 6.688
-4.179 2.413 6.688
0.000 -4.825 6.688
K Tl Cd F
2 3 1 12
direct
0.189 0.189 0.189
0.811 0.811 0.811
0.000 0.500 0.500
0.500 0.000 0.500
0.500 0.500 0.000
0.500 0.500 0.500
0.173 0.576 0.576
0.179 0.179 0.545
0.179 0.545 0.179
0.424 0.424 0.827
0.424 0.827 0.424
0.455 0.821 0.821
0.545 0.179 0.179
0.576 0.173 0.576
0.576 0.576 0.173
0.821 0.455 0.821
0.821 0.821 0.455
0.827 0.424 0.424

Entry 2:
KTlCd2F8, optimized geometry, DFT GGA-PBE; space group = No. 47
1.0
4.120 0.000 0.000
0.000 5.626 0.000
0.000 0.000 7.697
K Tl Cd F
1 1 2 8
direct
0.000 0.000 0.000
0.000 0.000 0.500
0.500 0.500 0.244
0.500 0.500 0.756
0.000 0.261 0.283
0.000 0.261 0.717
0.000 0.739 0.283
0.000 0.739 0.717
0.500 0.240 0.500
0.500 0.273 0.000
0.500 0.727 0.000
0.500 0.760 0.500

Entry 3:
K2Tl2CdF6, optimized geometry, DFT GGA-PBE; space group = No. 12
1.0
3.346 -5.562 0.000
3.346 5.562 0.000
-1.978 0.000 6.334
K Tl Cd F
2 2 1 6
direct
0.157 0.843 0.000
0.843 0.157 0.000
0.328 0.672 0.500
0.672 0.328 0.500
0.500 0.500 0.000
0.150 0.450 0.805
0.297 0.297 0.227
0.450 0.150 0.805
0.550 0.850 0.195
0.703 0.703 0.773
0.850 0.550 0.195

Entry 4:
K2TlCdF, optimized geometry, DFT GGA-PBE; space group = No. 123
1.0
6.773 0.000 0.000
0.000 6.773 0.000
0.000 0.000 5.324
K Tl Cd F
2 1 1 1
direct
0.000 0.500 0.000
0.500 0.000 0.000
0.000 0.000 0.000
0.000 0.000 0.500
0.500 0.500 0.500

Entry 5:
KTmCdF6, optimized geometry, DFT GGA-PBE; space group = No. 74
1.0
-3.943 4.115 5.865
3.943 -4.115 5.865
3.943 4.115 -5.865
K Tm Cd F
2 2 2 12
direct
0.302 0.052 0.250
0.698 0.948 0.750
0.000 0.500 0.500
0.500 0.500 0.000
0.000 0.000 0.500
0.000 0.500 0.000
0.065 0.418 0.248
0.065 0.817 0.647
0.084 0.834 0.250
0.306 0.556 0.750
0.330 0.183 0.748
0.330 0.582 0.147
0.670 0.418 0.853
0.670 0.817 0.252
0.694 0.444 0.250
0.916 0.166 0.750
0.935 0.183 0.353
0.935 0.582 0.752

Entry 6:
KTmCd2F8, optimized geometry, DFT GGA-PBE; space group = No. 10
1.0
3.954 0.000 0.000
0.000 7.869 0.000
-0.015 0.000 5.623
K Tm Cd F
1 1 2 8
direct
0.000 0.000 0.000
0.000 0.500 0.000
0.500 0.240 0.500
0.500 0.760 0.500
0.001 0.286 0.257
0.001 0.714 0.257
0.499 0.000 0.725
0.499 0.500 0.777
0.501 0.000 0.275
0.501 0.500 0.223
0.999 0.286 0.743
0.999 0.714 0.743

| no. | uncorrected formation energy (kJ/mol of atoms) | total magnetic moment (μB/cell) | E_tot (eV/atom) |
| --- | --- | --- | --- |
| 1 | -201 | 0.000 | -3.90 |
| 2 | -208 | 0.000 | -3.84 |
| 3 | -215 | 0.000 | -3.96 |
| 4 | -37 | 0.000 | -1.86 |
| 5 | -306 | 0.000 | -5.13 |
| 6 | -282 | 0.000 | -4.79 |